Density functional theory data (GGA-PBE) for an optimized crystal structure of Dy6Si2Ni.

Structure (POSCAR):
```
Dy6Si2Ni
1.0
7.791 0.000 0.000
-3.895 6.747 0.000
0.000 0.000 4.144
Dy Si Ni
6 2 1
Cartesian
-0.977 1.692 0.000
-2.291 3.968 2.072
1.953 0.000 0.000
1.605 2.780 2.072
4.581 0.000 2.072
2.919 5.055 0.000
0.000 4.498 0.000
3.895 2.249 0.000
0.000 0.000 2.072
```

Computed properties:
E ... -48.0 eV per cell
Crystal system ... hexagonal